No. 1
## Pa2AlTe (PBE)

Data for Pa2AlTe after structural relaxation.

```
Pa2AlTe
1.0
-1.025 2.774 -1.868
-3.338 -0.723 0.757
0.485 4.541 6.478
Pa Te Al
2 1 1
Cartesian
0.361 3.380 4.821
0.124 1.161 1.656
-2.181 1.025 -0.556
-1.939 3.296 2.683
```

Properties
- Energy above the most stable polymorph in this dataset: 0 meV per atom
- Crystal system: tetragonal
- Raw formation energy: -266 meV/atom


No. 2
## SrMn2Cr (PBE)

Data for SrMn2Cr after structural relaxation.

```
SrMn2Cr
1.0
0.000 3.120 3.120
3.120 0.000 3.120
3.120 3.120 0.000
Sr Mn Cr
1 2 1
Cartesian
3.120 3.120 3.120
1.560 1.560 1.560
4.679 4.679 4.679
0.000 0.000 0.000
```

Properties
- Energy above the most stable polymorph in this dataset: 848 meV per atom
- E_form: 1.28 eV/atom
- Crystal system: cubic


No. 3
## NdPu3Bi12 (PBE)

Data for NdPu3Bi12 after structural relaxation.

```
NdPu3Bi12
1.0
-2.799 2.388 -3.290
-4.011 -0.970 2.708
2.688 17.034 10.081
Nd Pu Bi
1 3 12
Cartesian
0.000 0.000 0.000
0.681 4.315 2.553
1.344 8.517 5.041
2.007 12.720 7.528
-3.405 0.709 -0.291
-2.726 5.008 2.253
-2.061 9.226 4.750
-1.395 13.445 7.247
-1.055 3.376 -0.354
-0.388 7.602 2.147
0.278 11.821 4.644
0.944 16.047 7.145
-1.661 1.697 2.645
-0.994 5.922 5.146
-0.328 10.142 7.643
0.339 14.368 10.144
```

Properties
- E_form: -0.31 eV/atom
- Crystal system: tetragonal


No. 4
## BaPRu (PBE)

Data for BaPRu after structural relaxation.

```
BaPRu
1.0
-2.551 1.848 2.530
-0.164 -4.010 -0.461
3.351 -0.573 3.797
Ba P Ru
1 1 1
Cartesian
1.675 -0.287 1.899
-1.755 -0.105 1.533
-0.959 -2.057 0.536
```

Properties
- E_form: -0.54 eV/atom
- Crystal system: hexagonal


No. 5
## ZnFeTc2 (PBE)

Data for ZnFeTc2 after structural relaxation.

```
ZnFeTc2
1.0
4.089 0.000 0.000
0.000 2.584 0.210
0.000 1.650 5.324
Fe Tc Zn
1 2 1
Cartesian
2.044 3.175 4.151
0.000 4.050 5.500
0.000 2.300 2.802
2.044 1.058 1.384
```

Properties
- E_form: 0.16 eV/atom
- Crystal system: monoclinic


No. 6
## Tb8SmTm2 (PBE)

Data for Tb8SmTm2 after structural relaxation.

```
Tb8SmTm2
1.0
-5.422 -1.138 -2.004
-4.200 -7.960 0.593
-5.239 -1.784 7.541
Tb Sm Tm
8 1 2
Cartesian
-6.089 -2.140 0.271
-9.797 -4.995 4.279
-3.411 -3.797 -0.327
-8.197 -7.630 2.559
-6.664 -3.253 3.570
-6.212 -5.301 -1.084
-5.064 -5.887 1.851
-8.772 -8.742 5.859
-2.711 -0.569 -1.002
-3.290 -3.147 3.043
-6.149 -6.597 5.091
```

Properties
- Energy above the most stable polymorph in this dataset: 39 meV per atom
- E_form: 0.15 eV/atom
- Crystal system: monoclinic


No. 7
## RbLaSiTe (PBE)

Data for RbLaSiTe after structural relaxation.

```
RbLaSiTe
1.0
4.968 0.000 0.000
-2.484 4.302 0.000
0.000 0.000 22.824
Si Te Rb La
3 3 3 3
Cartesian
0.000 0.000 22.640
0.000 2.868 15.032
2.484 1.434 7.424
0.000 0.000 19.942
0.000 2.868 12.334
2.484 1.434 4.726
0.000 0.000 9.672
0.000 2.868 2.064
2.484 1.434 17.280
0.000 0.000 13.960
0.000 2.868 6.352
2.484 1.434 21.568
```

Properties
- Energy above the most stable polymorph in this dataset: 28 meV per atom
- Crystal system: trigonal
- Raw formation energy: -601 meV/atom


No. 8
## BaHfS3 (PBE)

Data for BaHfS3 after structural relaxation.

```
BaHfS3
1.0
-4.278 -3.400 -0.625
-0.301 -0.623 5.456
-3.443 4.278 0.299
S Hf Ba
3 1 1
Cartesian
-0.151 -0.312 2.728
-1.722 2.139 0.149
-2.139 -1.700 -0.312
-4.011 0.128 2.565
0.000 0.000 0.000
```

Properties
- Crystal system: cubic
- Raw formation energy: 782 meV/atom


No. 9
## Dy3HoEr2 (PBE)

Data for Dy3HoEr2 after structural relaxation.

```
Dy3HoEr2
1.0
6.861 -1.137 -1.455
-4.075 9.199 -0.378
-2.132 0.707 6.735
Dy Ho Er
6 2 4
Cartesian
0.119 0.250 4.688
0.535 8.520 0.214
0.975 5.818 4.376
-1.386 3.307 3.893
2.040 5.462 1.009
-0.321 2.952 0.526
1.184 -0.104 1.321
-0.531 8.873 3.581
-1.394 6.038 1.735
-2.460 6.389 5.102
3.113 2.380 -0.200
2.048 2.732 3.167
```

Properties
- E_form: 0.00 eV/atom
- Crystal system: triclinic


No. 10
## Sm5Dy2Ga4 (PBE)

Data for Sm5Dy2Ga4 after structural relaxation.

```
Sm5Dy2Ga4
1.0
-0.609 4.584 -0.663
-2.095 -1.845 -10.841
-5.187 -2.040 7.130
Sm Dy Ga
5 2 4
Cartesian
-2.630 -0.810 -3.187
-5.261 1.510 -1.187
-3.336 -1.432 -6.839
-0.305 2.292 -0.331
-4.556 2.131 2.465
-5.324 0.962 -4.915
-2.567 -0.263 0.541
-2.562 1.246 -5.497
-0.296 -0.261 -1.533
-5.330 -0.546 1.123
-1.799 -1.584 -9.308
```

Properties
- E_form: -0.04 eV/atom
- Crystal system: orthorhombic


No. 11
## MgFe2Br8 (PBE)

Data for MgFe2Br8 after structural relaxation.

```
MgFe2Br8
1.0
-4.818 2.331 -3.555
-0.120 -6.418 -4.852
-5.584 -4.158 4.035
Mg Fe Br
1 2 8
Cartesian
0.000 0.000 0.000
-7.658 -6.984 -2.932
-2.864 -1.260 -1.440
-6.286 -5.082 1.610
-7.800 -1.688 -0.184
-5.918 -7.935 -1.620
-4.604 -0.309 -2.752
-2.722 -6.556 -4.188
-4.236 -3.163 -5.982
-7.161 -4.761 -3.191
-3.361 -3.484 -1.180
```

Properties
- Crystal system: monoclinic
- Raw formation energy: -733 meV/atom


No. 12
## MgZrBePd (PBE)

Data for MgZrBePd after structural relaxation.

```
MgZrBePd
1.0
-1.510 -2.488 3.477
2.921 -1.613 3.070
0.049 1.709 4.200
Be Mg Zr Pd
1 1 1 1
Cartesian
1.095 -1.795 8.061
0.730 -1.196 5.374
0.000 0.000 0.000
0.365 -0.598 2.687
```

Properties
- E_form: -0.32 eV/atom
- Crystal system: cubic


no.,E (eV/atom)
1,-6.74
2,-6.13
3,-6.20
4,-6.08
5,-7.46
6,-4.46
7,-4.22
8,-4.07
9,-4.59
10,-4.13
11,-3.63
12,-5.08